Entry 1:
Density functional theory data (PBE-GGA) for a relaxed structure of Tb2DyHo3Bi6.

Summary:
Total magnetization, μB/cell: 0.0
ΔH_f (0 K), eV/atom: -0.85
Symmetry: C2/m (12)

a = 9.993 Å, b = 9.993 Å, c = 8.941 Å
α = 102.85°, β = 102.85°, γ = 25.85°
Fractional positions:
Tb: 0.167 0.167 0.333
Tb: 0.833 0.833 0.667
Dy: 0.500 0.500 0.000
Ho: 0.167 0.167 0.833
Ho: 0.500 0.500 0.500
Ho: 0.833 0.833 0.167
Bi: 0.001 0.001 0.750
Bi: 0.333 0.333 0.918
Bi: 0.334 0.334 0.416
Bi: 0.666 0.666 0.584
Bi: 0.667 0.667 0.082
Bi: 0.999 0.999 0.250


Entry 2:
Density functional theory data (PBE-GGA) for a relaxed structure of MgBrO2.

Summary:
Raw formation energy, eV per atom: -1.128
Total magnetization, μB/cell: 0.0
Distance to the lowest polymorph of the same formula, kcal/mol of atoms: 1.99
Symmetry: P1 (1)

a = 3.664 Å, b = 4.132 Å, c = 8.693 Å
α = 94.48°, β = 91.69°, γ = 90.06°
Fractional positions:
Mg: 0.000 0.000 0.000
Mg: 0.496 0.477 0.862
Br: 0.013 0.243 0.556
Br: 0.943 0.496 0.261
O: 0.061 0.078 0.249
O: 0.491 0.983 0.914
O: 0.969 0.513 0.047
O: 0.986 0.453 0.748


Entry 3:
Density functional theory data (PBE-GGA) for a relaxed structure of ErMgAg.

Summary:
Total magnetization, μB/cell: 0.0
ΔH_f (0 K), eV/atom: -0.17
Symmetry: Aem2 (39)

a = 11.790 Å, b = 3.428 Å, c = 3.428 Å
α = 89.99°, β = 90.00°, γ = 90.00°
Fractional positions:
Er: 0.111 0.250 0.750
Er: 0.889 0.750 0.250
Mg: 0.413 0.247 0.747
Mg: 0.587 0.747 0.247
Ag: 0.281 0.749 0.249
Ag: 0.719 0.249 0.749


Entry 4:
Density functional theory data (PBE-GGA) for a relaxed structure of InFe2Co2.

Summary:
Total magnetization, μB/cell: 0.0
ΔH_f (0 K), eV/atom: 0.43
Distance to the lowest polymorph of the same formula, kcal/mol of atoms: 2.36
Symmetry: P4/mbm (127)

a = 6.892 Å, b = 6.892 Å, c = 2.630 Å
α = 90.00°, β = 90.00°, γ = 90.00°
Fractional positions:
In: 0.000 0.000 0.000
In: 0.500 0.500 0.000
Fe: 0.117 0.383 0.000
Fe: 0.383 0.883 0.000
Fe: 0.617 0.117 0.000
Fe: 0.883 0.617 0.000
Co: 0.174 0.674 0.500
Co: 0.326 0.174 0.500
Co: 0.674 0.826 0.500
Co: 0.826 0.326 0.500